A relaxed BaLiSn3 crystal, computed with PBE-GGA.

```
BaLiSn3
1.0
5.246 0.000 0.000
0.000 5.246 0.000
0.000 0.000 5.246
Ba Li Sn
1 1 3
direct
0.000 0.000 0.000 Ba
0.500 0.500 0.500 Li
0.000 0.500 0.500 Sn
0.500 0.000 0.500 Sn
0.500 0.500 0.000 Sn
```

Summary:
E above lowest polymorph ... 98 kJ/mol of formula units
Space group ... Pm-3m
Size of the total moment ... 0.0 μB/f.u.
Energy of formation ... -0.267 eV per atom

***

A relaxed KB2AuS crystal, computed with PBE-GGA.

```
KB2AuS
1.0
4.943 0.000 0.000
0.000 4.943 0.000
0.000 0.000 5.426
K B Au S
1 2 1 1
direct
0.000 0.000 0.000 K
0.000 0.500 0.000 B
0.500 0.000 0.000 B
0.500 0.500 0.500 Au
0.000 0.000 0.500 S
```

Summary:
Space group ... P4/mmm
ΔE_f (raw) ... 2618 meV/atom
Size of the total moment ... 0.5 μB/f.u.

***

A relaxed SrCo3Re crystal, computed with PBE-GGA.

```
SrCo3Re
1.0
4.600 0.000 0.000
0.000 4.600 0.000
0.000 0.000 4.600
Sr Co Re
1 3 1
direct
0.000 0.000 0.000 Sr
0.000 0.500 0.500 Co
0.500 0.000 0.500 Co
0.500 0.500 0.000 Co
0.500 0.500 0.500 Re
```

Summary:
E above lowest polymorph ... 0 kJ/mol of formula units
Space group ... Pm-3m
Size of the total moment ... 2.7 μB/f.u.
Energy of formation ... 0.827 eV per atom

***

A relaxed Y2AsRh crystal, computed with PBE-GGA.

```
Y2AsRh
1.0
3.450 -3.460 0.000
3.450 3.460 0.000
-0.009 0.000 3.613
Y As Rh
2 1 1
direct
0.000 0.500 0.000 Y
0.500 0.000 0.000 Y
0.000 0.000 0.500 As
0.500 0.500 0.500 Rh
```

Summary:
Space group ... C2/m
Size of the total moment ... 0.0 μB/f.u.
Energy of formation ... -0.930 eV per atom

***

The records above give, respectively, density of states at the Fermi level values of 0.686; 0.560; 1.146; 0.393 states/eV/atom.